DFT (PBE) results for an optimized crystal structure of Si2Ni.

**Total moment**: 0.00 μB/atom
**SG**: Cmcm
**Formation energy from raw total energies**: 0.04 eV/f.u.
**DOS(E_F)**: 1.25 states/eV/f.u.
**Total energy**: -5.53 eV per atom

Structure (POSCAR):
```
Si2Ni
1.0
-1.277 3.235 4.643
-1.768 -4.253 -3.527
1.787 -2.726 2.391
Si Ni
4 2
direct
0.435 0.565 0.250 Si
0.565 0.435 0.750 Si
0.767 0.233 0.250 Si
0.233 0.767 0.750 Si
0.103 0.897 0.250 Ni
0.897 0.103 0.750 Ni
```


DFT (PBE) results for an optimized crystal structure of Si2Ni.

**Total moment**: 0.00 μB/atom
**SG**: Pnnm
**Formation energy from raw total energies**: -0.68 eV/f.u.
**DOS(E_F)**: 0.69 states/eV/f.u.
**Total energy**: -5.77 eV per atom

Structure (POSCAR):
```
Si2Ni
1.0
2.637 0.000 0.000
0.000 5.583 0.000
0.000 0.000 5.578
Si Ni
4 2
direct
0.000 0.179 0.619 Si
0.000 0.821 0.381 Si
0.500 0.679 0.881 Si
0.500 0.321 0.119 Si
0.000 0.000 0.000 Ni
0.500 0.500 0.500 Ni
```


Q: Among the records above, which one has the lowest formation energy from raw total energies?
A: number 2


Q: Which value of formation energy from raw total energies does entry 1 give?
A: 0.04 eV/f.u.


Q: Which of these has the lowest DOS(E_F)?
A: number 2


Q: Among the records above, which one has the lowest DOS(E_F)?
A: number 2